Record 1
A relaxed Pd2PbI2 crystal. Source: Alexandria via LeMat-Bulk, functional GGA-PBE.

Unit cell a=4.0009 b=4.0009 c=8.6065 alpha=76.56 beta=76.56 gamma=90.00
With the nearest neighbours (Å) after each atom.
Sites, in units of the cell vectors:
Pb (0.0000, 0.0000, 0.0000)  8 I 3.47
I (0.3760, 0.3760, 0.2479)  4 Pd 2.86
I (0.6240, 0.6240, 0.7521)  4 Pd 2.86
Pd (0.7500, 0.2500, 0.5000)  4 Pd 2.83, 4 I 2.86
Pd (0.2500, 0.7500, 0.5000)  4 Pd 2.83, 4 I 2.86

Output
For the total moment, the calculation gives 0.000 μB/atom. The calculation puts the energy above the most stable polymorph in this dataset at 0 meV per atom. Its density of states at the Fermi level is 1.071 states/eV per cell. The theoretical density is 8.6 g cm⁻³. Its symmetry is I4/mmm, No. 139. The calculation puts the uncorrected formation energy at -4 meV/atom.

---

Record 2
A relaxed Y2Ga3Cu4 crystal. Source: Alexandria via LeMat-Bulk, functional GGA-PBE.

Unit cell a=5.5042 b=7.3981 c=8.0427 alpha=90.00 beta=110.01 gamma=90.00
With the nearest neighbours (Å) after each atom.
Sites, in units of the cell vectors:
Y (0.1047, 0.5969, 0.2095)  7 Cu 2.97-3.15, 4 Ga 3.02-3.25
Y (0.8953, 0.4031, 0.7905)  7 Cu 2.97-3.15, 4 Ga 3.02-3.25
Y (0.3953, 0.0969, 0.7905)  7 Cu 2.97-3.15, 4 Ga 3.02-3.25
Y (0.6047, 0.9031, 0.2095)  7 Cu 2.97-3.15, 4 Ga 3.02-3.25
Ga (0.0000, 0.0000, 0.0000)  6 Cu 2.52-2.62
Ga (0.5000, 0.5000, 0.0000)  6 Cu 2.52-2.62
Ga (0.5159, 0.7500, 0.5318)  5 Cu 2.52-2.64, 2 Ga 2.75
Ga (0.9841, 0.2500, 0.4682)  5 Cu 2.52-2.64, 2 Ga 2.75
Ga (0.4841, 0.2500, 0.4682)  5 Cu 2.52-2.64, 2 Ga 2.75
Ga (0.0159, 0.7500, 0.5318)  5 Cu 2.52-2.64, 2 Ga 2.75
Cu (0.6827, 0.7500, 0.8653)  3 Ga 2.52, 2 Cu 2.75
Cu (0.8173, 0.2500, 0.1347)  3 Ga 2.52, 2 Cu 2.75
Cu (0.3173, 0.2500, 0.1347)  3 Ga 2.52, 2 Cu 2.75
Cu (0.1827, 0.7500, 0.8653)  3 Ga 2.52, 2 Cu 2.75
Cu (0.1735, 0.9899, 0.3470)  5 Ga 2.54-2.64
Cu (0.8265, 0.0101, 0.6530)  5 Ga 2.54-2.64
Cu (0.3265, 0.4899, 0.6530)  5 Ga 2.54-2.64
Cu (0.6735, 0.5101, 0.3470)  5 Ga 2.54-2.64

Output
For the total moment, the calculation gives 0.000 μB/atom. Its density of states at the Fermi level is 11.785 states/eV per cell. The theoretical density is 6.9 g cm⁻³. Its symmetry is Cmce, No. 64. The formation energy is -351.3 meV/atom.